Entry from the Alexandria database: a geometry-optimized Pa3Al2Fe6 structure (PBE-GGA).

a b c (Å): 7.6053 7.6053 7.6053
angles (deg): 109.47 109.47 109.47
With the nearest neighbours (Å) after each atom.
Positions (direct):
Pa 0.7081 0.0000 0.7081  4 Fe 2.60
Pa 0.2919 0.0000 0.2919  4 Fe 2.60
Pa 0.0000 0.2919 0.2919  4 Fe 2.60
Pa 0.0000 0.7081 0.7081  4 Fe 2.60
Pa 0.2919 0.2919 0.0000  4 Fe 2.60
Pa 0.7081 0.7081 0.0000  4 Fe 2.60
Al 0.0000 0.5000 0.0000  6 Fe 2.53
Al 0.5000 0.0000 0.0000  6 Fe 2.53
Al 0.0000 0.0000 0.5000  6 Fe 2.53
Al 0.5000 0.5000 0.5000  6 Fe 2.53
Fe 0.6484 0.2967 0.6484  2 Al 2.53, 6 Fe 2.57-2.61, 2 Pa 2.60
Fe 0.6484 0.0000 0.3516  2 Al 2.53, 6 Fe 2.57-2.61, 2 Pa 2.60
Fe 0.3516 0.0000 0.6484  2 Al 2.53, 6 Fe 2.57-2.61, 2 Pa 2.60
Fe 0.3516 0.7033 0.3516  2 Al 2.53, 6 Fe 2.57-2.61, 2 Pa 2.60
Fe 0.0000 0.6484 0.3516  2 Al 2.53, 6 Fe 2.57-2.61, 2 Pa 2.60
Fe 0.7033 0.3516 0.3516  2 Al 2.53, 6 Fe 2.57-2.61, 2 Pa 2.60
Fe 0.2967 0.6484 0.6484  2 Al 2.53, 6 Fe 2.57-2.61, 2 Pa 2.60
Fe 0.0000 0.3516 0.6484  2 Al 2.53, 6 Fe 2.57-2.61, 2 Pa 2.60
Fe 0.3516 0.6484 0.0000  2 Al 2.53, 6 Fe 2.57-2.61, 2 Pa 2.60
Fe 0.6484 0.6484 0.2967  2 Al 2.53, 6 Fe 2.57-2.61, 2 Pa 2.60
Fe 0.3516 0.3516 0.7033  2 Al 2.53, 6 Fe 2.57-2.61, 2 Pa 2.60
Fe 0.6484 0.3516 0.0000  2 Al 2.53, 6 Fe 2.57-2.61, 2 Pa 2.60

## Properties
DFT formation energy, eV per formula unit: -3.14
Calculated total energy, eV for the cell shown: -179.8
DOS at the Fermi energy, states/eV per cell: 32.1
Symmetry: Im-3m, No. 229



Entry from the Alexandria database: a geometry-optimized Zn2FeCu structure (PBE-GGA).

a b c (Å): 5.1161 5.1161 5.1161
angles (deg): 149.44 129.48 60.20
With the nearest neighbours (Å) after each atom.
Positions (direct):
Cu 0.4977 0.4977 0.0000  2 Fe 2.55, 6 Zn 2.57, 2 Cu 2.70
Fe 0.2527 0.7527 0.5000  2 Cu 2.55, 6 Zn 2.57-2.58, 2 Fe 2.70
Zn 0.0043 0.0043 0.0000  4 Cu 2.57, 2 Fe 2.58, 4 Zn 2.66-2.70
Zn 0.7453 0.2453 0.5000  4 Fe 2.57, 2 Cu 2.57, 4 Zn 2.66-2.70

## Properties
DFT formation energy, eV per formula unit: 0.26
Calculated total energy, eV for the cell shown: -14.8
DOS at the Fermi energy, states/eV per cell: 2.4
Symmetry: Imm2, No. 44



Entry from the Alexandria database: a geometry-optimized TcRu2Pb structure (PBE-GGA).

a b c (Å): 5.9991 5.9991 6.8295
angles (deg): 63.95 63.95 90.00
With the nearest neighbours (Å) after each atom.
Positions (direct):
Pb 0.0000 0.0000 0.0000  4 Ru 2.68
Pb 0.7500 0.2500 0.5000  4 Ru 2.68
Ru 0.5792 0.1250 0.2500  2 Tc 2.35
Ru 0.1708 0.6250 0.2500  2 Tc 2.35
Ru 0.3750 0.4208 0.7500  2 Tc 2.35
Ru 0.8750 0.8292 0.7500  2 Tc 2.35
Tc 0.5000 0.5000 0.0000  4 Ru 2.35
Tc 0.2500 0.7500 0.5000  4 Ru 2.35

## Properties
DFT formation energy, eV per formula unit: 4.61
Calculated total energy, eV for the cell shown: -56.0
DOS at the Fermi energy, states/eV per cell: 10.4
Symmetry: I-42d, No. 122



Entry from the Alexandria database: a geometry-optimized Sr4Sn2I structure (PBE-GGA).

a b c (Å): 10.4325 9.1690 10.5619
angles (deg): 136.90 120.60 80.44
With the nearest neighbours (Å) after each atom.
Positions (direct):
Sr 0.9222 0.9117 0.2198  3 Sn 3.31-3.47, 2 I 3.34-3.55
Sr 0.5456 0.8265 0.5142  3 Sn 3.27-3.39, 2 I 3.36-3.43
Sr 0.7593 0.4080 0.5477  4 Sn 3.27-3.37, 1 I 3.49
Sr 0.0417 0.2582 0.8595  2 I 3.44-3.66, 3 Sn 3.46-3.58
Sr 0.3170 0.0255 0.2024  4 Sn 3.45-3.70, 1 I 3.62, 1 Sr 3.82
Sr 0.4013 0.3676 0.8627  4 Sn 3.24-3.42
Sr 0.4320 0.7236 0.7913  2 Sn 3.34-3.42, 1 I 3.65
Sr 0.8393 0.4907 0.2737  2 I 3.45-3.59, 3 Sn 3.60-3.75
Sn 0.6732 0.3490 0.7726  1 Sn 3.26, 5 Sr 3.31-3.57
Sn 0.6796 0.9042 0.3365  1 Sn 3.26, 7 Sr 3.31-3.61
Sn 0.4371 0.2716 0.1270  6 Sr 3.27-3.58
Sn 0.1098 0.4675 0.6425  6 Sr 3.24-3.61
I 0.1819 0.7530 0.4166  6 Sr 3.34-3.71
I 0.9100 0.9929 0.9335  6 Sr 3.36-3.66

## Properties
Raw formation energy, meV/atom: -768.2
Calculated total energy, eV for the cell shown: -43.3
DOS at the Fermi energy, states/eV per cell: 3.6
Symmetry: P1, No. 1